The following is a PBE with a Hubbard U calculation of an optimized crystal structure of K3NiC2O6, from Alexandria.

Unit cell a=5.462 b=5.462 c=6.846 alpha=90.00 beta=90.00 gamma=120.00
Fractional coordinates of all 12 atoms:
K1 0.000 0.000 0.000
K2 0.333 0.667 0.708
K3 0.667 0.333 0.292
Ni1 0.000 0.000 0.500
C1 0.333 0.667 0.287
C2 0.667 0.333 0.713
O1 0.195 0.389 0.289
O2 0.195 0.805 0.289
O3 0.389 0.195 0.711
O4 0.611 0.805 0.289
O5 0.805 0.195 0.711
O6 0.805 0.611 0.711

Summary:
SG: P-3m1
DFT total energy (eV per atom): -5.863